# Ba2FeAu

Crystalline Ba2FeAu at its relaxed geometry (PBE-GGA, the Alexandria database). Values from VASP.

Quantum ESPRESSO input file:
```
&SYSTEM
  ibrav = 0, nat = 4, ntyp = 3
/
ATOMIC_SPECIES
Ba 137.33 Ba.upf
Au 196.97 Au.upf
Fe 55.84 Fe.upf
ATOMIC_POSITIONS crystal
Ba 0.500 0.500 0.328
Au 0.500 0.500 0.667
Fe 0.000 0.000 0.592
Ba 0.000 0.000 0.912
CELL_PARAMETERS angstrom
-2.782 -2.384 -0.849
2.139 -1.541 -2.682
3.395 -6.195 6.268
```

The energy of formation is 0.71 eV/f.u. The energy relative to the lowest polymorph listed for this composition is 0.72 eV/f.u. The calculation puts the spin magnetization at 3.0 μB/cell. The density of states at the Fermi level comes out at 6.0 states/eV/cell. The total energy comes out at -14.871 eV/cell.

# Ac6P5H

Crystalline Ac6P5H at its relaxed geometry (PBE-GGA, the Alexandria database). Values from VASP.

Quantum ESPRESSO input file:
```
&SYSTEM
  ibrav = 0, nat = 12, ntyp = 3
/
ATOMIC_SPECIES
Ac 227.00 Ac.upf
P 30.97 P.upf
H 1.01 H.upf
ATOMIC_POSITIONS crystal
Ac 0.256 0.256 0.744
P 0.167 0.833 0.500
H 0.000 0.000 0.000
Ac 0.575 0.916 0.747
P 0.334 0.666 0.000
Ac 0.916 0.575 0.747
Ac 0.744 0.744 0.256
P 0.833 0.167 0.500
P 0.666 0.334 0.000
Ac 0.084 0.425 0.253
Ac 0.425 0.084 0.253
P 0.500 0.500 0.500
CELL_PARAMETERS angstrom
-6.334 3.240 2.696
0.942 -7.530 0.542
4.961 2.289 5.312
```

The calculation puts the spin magnetization at 0.0 μB/cell. The density of states at the Fermi level comes out at 3.7 states/eV/cell. The total energy comes out at -70.460 eV/cell.

# Cu3NiPd

Crystalline Cu3NiPd at its relaxed geometry (PBE-GGA, the Alexandria database). Values from VASP.

Quantum ESPRESSO input file:
```
&SYSTEM
  ibrav = 0, nat = 5, ntyp = 3
/
ATOMIC_SPECIES
Cu 63.55 Cu.upf
Ni 58.69 Ni.upf
Pd 106.42 Pd.upf
ATOMIC_POSITIONS crystal
Cu 0.500 0.000 0.000
Cu 0.000 0.000 0.500
Ni 0.000 0.000 0.000
Cu 0.000 0.500 0.000
Pd 0.500 0.500 0.500
CELL_PARAMETERS angstrom
4.311 0.000 0.000
0.000 4.311 0.000
0.000 0.000 4.311
```

The energy of formation is 4.17 eV/f.u. The energy relative to the lowest polymorph listed for this composition is 4.34 eV/f.u. The calculation puts the spin magnetization at 0.3 μB/cell. The density of states at the Fermi level comes out at 5.6 states/eV/cell. The total energy comes out at -19.091 eV/cell.

# Tb7Pr2Sm

Crystalline Tb7Pr2Sm at its relaxed geometry (PBE-GGA, the Alexandria database). Values from VASP.

Quantum ESPRESSO input file:
```
&SYSTEM
  ibrav = 0, nat = 10, ntyp = 3
/
ATOMIC_SPECIES
Tb 158.93 Tb.upf
Pr 140.91 Pr.upf
Sm 150.36 Sm.upf
ATOMIC_POSITIONS crystal
Tb 0.900 0.700 0.601
Tb 0.798 0.398 0.199
Tb 0.300 0.899 0.198
Tb 0.700 0.101 0.802
Tb 0.500 0.500 0.000
Pr 0.598 0.796 0.398
Pr 0.402 0.204 0.602
Tb 0.100 0.300 0.399
Sm 0.000 0.000 0.000
Tb 0.202 0.602 0.801
CELL_PARAMETERS angstrom
4.805 -1.487 0.731
-2.476 7.198 -4.432
1.005 -0.194 10.734
```

The energy of formation is 0.16 eV/f.u. The energy relative to the lowest polymorph listed for this composition is 0.00 eV/f.u. The calculation puts the spin magnetization at 0.0 μB/cell. The density of states at the Fermi level comes out at 13.6 states/eV/cell. The total energy comes out at -46.532 eV/cell.